Entry P
The following is a PBE calculation of crystalline ScAu3F at its relaxed geometry, from Alexandria.

Computed properties:
calculated volume: 140.5 Å³ per cell
space group: No. 221

Cell: 5.199 5.199 5.199 Å, 90.00 90.00 90.00°
Element x y z (fractional)
Sc 0.000 0.000 0.000
Au 0.000 0.000 0.500
Au 0.000 0.500 0.000
Au 0.500 0.000 0.000
F 0.500 0.500 0.500

Entry Q
The following is a PBE calculation of crystalline ScAu3F at its relaxed geometry, from Alexandria.

Computed properties:
calculated volume: 99.0 Å³ per cell
space group: No. 221

Cell: 4.626 4.626 4.626 Å, 90.00 90.00 90.00°
Element x y z (fractional)
Sc 0.000 0.000 0.000
Au 0.000 0.500 0.500
Au 0.500 0.000 0.500
Au 0.500 0.500 0.000
F 0.500 0.500 0.500

Which of them is the most stable, and which is the least stable? entry Q and entry P, in that order.

Entry P
The following is a PBE calculation of crystalline ScAuF3 at its relaxed geometry, from Alexandria.

Computed properties:
calculated volume: 73.6 Å³ per cell
space group: No. 221

Cell: 4.191 4.191 4.191 Å, 90.00 90.00 90.00°
Element x y z (fractional)
Sc 0.000 0.000 0.000
Au 0.500 0.500 0.500
F 0.000 0.000 0.500
F 0.000 0.500 0.000
F 0.500 0.000 0.000

Entry Q
The following is a PBE calculation of crystalline ScAuF3 at its relaxed geometry, from Alexandria.

Computed properties:
calculated volume: 91.5 Å³ per cell
space group: No. 221

Cell: 4.505 4.505 4.505 Å, 90.00 90.00 90.00°
Element x y z (fractional)
Sc 0.000 0.000 0.000
Au 0.500 0.500 0.500
F 0.000 0.500 0.500
F 0.500 0.000 0.500
F 0.500 0.500 0.000

Which of them is the most stable, and which is the least stable? entry P and entry Q, in that order.

Entry P
The following is a PBE calculation of crystalline AuSe2F at its relaxed geometry, from Alexandria.

Computed properties:
calculated volume: 74.4 Å³ per cell
space group: No. 166

Cell: 6.294 6.294 6.294 Å, 35.30 35.30 35.30°
Element x y z (fractional)
Au 0.000 0.000 0.000
Se 0.256 0.256 0.256
Se 0.744 0.744 0.744
F 0.500 0.500 0.500

Entry Q
The following is a PBE calculation of crystalline AuSe2F at its relaxed geometry, from Alexandria.

Computed properties:
calculated volume: 94.3 Å³ per cell
space group: No. 166

Cell: 5.805 5.805 5.805 Å, 46.61 46.61 46.61°
Element x y z (fractional)
Au 0.000 0.000 0.000
Se 0.157 0.157 0.157
Se 0.843 0.843 0.843
F 0.500 0.500 0.500

Which of them is the most stable, and which is the least stable? entry P and entry Q, in that order.

Entry P
The following is a PBE calculation of crystalline AuSe2F at its relaxed geometry, from Alexandria.

Computed properties:
calculated volume: 192.9 Å³ per cell
space group: No. 122

Cell: 7.187 7.187 7.187 Å, 133.33 133.33 68.13°
Element x y z (fractional)
Au 0.000 0.000 0.000
Au 0.750 0.250 0.500
Se 0.123 0.625 0.998
Se 0.375 0.373 0.498
Se 0.627 0.125 0.002
Se 0.875 0.877 0.502
F 0.250 0.750 0.500
F 0.500 0.500 0.000

Entry Q
The following is a PBE calculation of crystalline AuSe2F at its relaxed geometry, from Alexandria.

Computed properties:
calculated volume: 66.8 Å³ per cell
space group: No. 225

Cell: 4.554 4.554 4.554 Å, 60.00 60.00 60.00°
Element x y z (fractional)
Au 0.000 0.000 0.000
Se 0.250 0.250 0.250
Se 0.750 0.750 0.750
F 0.500 0.500 0.500

Which of them is the most stable, and which is the least stable? entry Q and entry P, in that order.

Entry P
The following is a PBE calculation of crystalline AuSe3F at its relaxed geometry, from Alexandria.

Computed properties:
calculated volume: 131.3 Å³ per cell
space group: No. 221

Cell: 5.082 5.082 5.082 Å, 90.00 90.00 90.00°
Element x y z (fractional)
Au 0.000 0.000 0.000
Se 0.000 0.000 0.500
Se 0.000 0.500 0.000
Se 0.500 0.000 0.000
F 0.500 0.500 0.500

Entry Q
The following is a PBE calculation of crystalline AuSe3F at its relaxed geometry, from Alexandria.

Computed properties:
calculated volume: 102.0 Å³ per cell
space group: No. 221

Cell: 4.673 4.673 4.673 Å, 90.00 90.00 90.00°
Element x y z (fractional)
Au 0.000 0.000 0.000
Se 0.000 0.500 0.500
Se 0.500 0.000 0.500
Se 0.500 0.500 0.000
F 0.500 0.500 0.500

Which of them is the most stable, and which is the least stable? entry P and entry Q, in that order.

Entry P
The following is a PBE calculation of crystalline AuSeF2 at its relaxed geometry, from Alexandria.

Computed properties:
calculated volume: 62.3 Å³ per cell
space group: No. 166

Cell: 8.477 8.477 8.477 Å, 19.99 19.99 19.99°
Element x y z (fractional)
Au 0.000 0.000 0.000
Se 0.500 0.500 0.500
F 0.082 0.082 0.082
F 0.918 0.918 0.918

Entry Q
The following is a PBE calculation of crystalline AuSeF2 at its relaxed geometry, from Alexandria.

Computed properties:
calculated volume: 64.6 Å³ per cell
space group: No. 166

Cell: 9.007 9.007 9.007 Å, 18.54 18.54 18.54°
Element x y z (fractional)
Au 0.000 0.000 0.000
Se 0.500 0.500 0.500
F 0.429 0.429 0.429
F 0.571 0.571 0.571

Which of them is the most stable, and which is the least stable? entry Q and entry P, in that order.

Entry P
The following is a PBE calculation of crystalline Si3AuF at its relaxed geometry, from Alexandria.

Computed properties:
calculated volume: 117.6 Å³ per cell
space group: No. 221

Cell: 4.899 4.899 4.899 Å, 90.00 90.00 90.00°
Element x y z (fractional)
Si 0.000 0.000 0.500
Si 0.000 0.500 0.000
Si 0.500 0.000 0.000
Au 0.000 0.000 0.000
F 0.500 0.500 0.500

Entry Q
The following is a PBE calculation of crystalline Si3AuF at its relaxed geometry, from Alexandria.

Computed properties:
calculated volume: 84.6 Å³ per cell
space group: No. 221

Cell: 4.390 4.390 4.390 Å, 90.00 90.00 90.00°
Element x y z (fractional)
Si 0.000 0.000 0.500
Si 0.000 0.500 0.000
Si 0.500 0.000 0.000
Au 0.500 0.500 0.500
F 0.000 0.000 0.000

Which of them is the most stable, and which is the least stable? entry Q and entry P, in that order.

Entry P
The following is a PBE calculation of crystalline SiAuF2 at its relaxed geometry, from Alexandria.

Computed properties:
calculated volume: 111.0 Å³ per cell
space group: No. 122

Cell: 8.192 8.192 8.192 Å, 153.27 153.27 38.16°
Element x y z (fractional)
Si 0.000 0.000 0.000
Si 0.750 0.250 0.500
Au 0.250 0.750 0.500
Au 0.500 0.500 0.000
F 0.078 0.625 0.953
F 0.375 0.328 0.453
F 0.672 0.125 0.047
F 0.875 0.922 0.547

Entry Q
The following is a PBE calculation of crystalline SiAuF2 at its relaxed geometry, from Alexandria.

Computed properties:
calculated volume: 73.5 Å³ per cell
space group: No. 166

Cell: 10.157 10.157 10.157 Å, 16.48 16.48 16.48°
Element x y z (fractional)
Si 0.000 0.000 0.000
Au 0.500 0.500 0.500
F 0.380 0.380 0.380
F 0.620 0.620 0.620

Which of them is the most stable, and which is the least stable? entry Q and entry P, in that order.

Entry P
The following is a PBE calculation of crystalline SiAuF2 at its relaxed geometry, from Alexandria.

Computed properties:
calculated volume: 66.2 Å³ per cell
space group: No. 166

Cell: 10.228 10.228 10.228 Å, 15.45 15.45 15.45°
Element x y z (fractional)
Si 0.000 0.000 0.000
Au 0.500 0.500 0.500
F 0.054 0.054 0.054
F 0.946 0.946 0.946

Entry Q
The following is a PBE calculation of crystalline SiAuF2 at its relaxed geometry, from Alexandria.

Computed properties:
calculated volume: 56.7 Å³ per cell
space group: No. 225

Cell: 4.313 4.313 4.313 Å, 60.00 60.00 60.00°
Element x y z (fractional)
Si 0.000 0.000 0.000
Au 0.500 0.500 0.500
F 0.250 0.250 0.250
F 0.750 0.750 0.750

Which of them is the most stable, and which is the least stable? entry P and entry Q, in that order.

Entry P
The following is a PBE calculation of crystalline SiAuF3 at its relaxed geometry, from Alexandria.

Computed properties:
calculated volume: 80.5 Å³ per cell
space group: No. 221

Cell: 4.317 4.317 4.317 Å, 90.00 90.00 90.00°
Element x y z (fractional)
Si 0.000 0.000 0.000
Au 0.500 0.500 0.500
F 0.000 0.500 0.500
F 0.500 0.000 0.500
F 0.500 0.500 0.000

Entry Q
The following is a PBE calculation of crystalline SiAuF3 at its relaxed geometry, from Alexandria.

Computed properties:
calculated volume: 71.3 Å³ per cell
space group: No. 221

Cell: 4.146 4.146 4.146 Å, 90.00 90.00 90.00°
Element x y z (fractional)
Si 0.000 0.000 0.000
Au 0.500 0.500 0.500
F 0.000 0.000 0.500
F 0.000 0.500 0.000
F 0.500 0.000 0.000

Which of them is the most stable, and which is the least stable? entry Q and entry P, in that order.

Entry P
The following is a PBE calculation of crystalline SnAu2F at its relaxed geometry, from Alexandria.

Computed properties:
calculated volume: 157.8 Å³ per cell
space group: No. 122

Cell: 6.066 6.066 6.066 Å, 101.00 101.00 128.19°
Element x y z (fractional)
Sn 0.000 0.000 0.000
Sn 0.750 0.250 0.500
Au 0.131 0.625 0.006
Au 0.375 0.381 0.506
Au 0.619 0.125 0.994
Au 0.875 0.869 0.494
F 0.250 0.750 0.500
F 0.500 0.500 0.000

Entry Q
The following is a PBE calculation of crystalline SnAu2F at its relaxed geometry, from Alexandria.

Computed properties:
calculated volume: 72.7 Å³ per cell
space group: No. 225

Cell: 4.684 4.684 4.684 Å, 60.00 60.00 60.00°
Element x y z (fractional)
Sn 0.000 0.000 0.000
Au 0.250 0.250 0.250
Au 0.750 0.750 0.750
F 0.500 0.500 0.500

Which of them is the most stable, and which is the least stable? entry P and entry Q, in that order.

Entry P
The following is a PBE calculation of crystalline Sn3AuF at its relaxed geometry, from Alexandria.

Computed properties:
calculated volume: 118.8 Å³ per cell
space group: No. 221

Cell: 4.916 4.916 4.916 Å, 90.00 90.00 90.00°
Element x y z (fractional)
Sn 0.000 0.000 0.500
Sn 0.000 0.500 0.000
Sn 0.500 0.000 0.000
Au 0.500 0.500 0.500
F 0.000 0.000 0.000

Entry Q
The following is a PBE calculation of crystalline Sn3AuF at its relaxed geometry, from Alexandria.

Computed properties:
calculated volume: 158.5 Å³ per cell
space group: No. 221

Cell: 5.411 5.411 5.411 Å, 90.00 90.00 90.00°
Element x y z (fractional)
Sn 0.000 0.000 0.500
Sn 0.000 0.500 0.000
Sn 0.500 0.000 0.000
Au 0.000 0.000 0.000
F 0.500 0.500 0.500

Which of them is the most stable, and which is the least stable? entry P and entry Q, in that order.